Entry 1:
A plane-wave DFT calculation with PBE was carried out for a geometry-optimized CeThRh structure.

abc: 6.924 6.924 6.924
angles: 90.00 90.00 90.00
Space group F-43m (No. 216)
Inequivalent atoms, fractional coordinates:
Ce (0.000, 0.000, 0.000) x4
Th (0.000, 0.000, 0.500) x4
Rh (0.250, 0.250, 0.250) x4

Properties
ΔE_f: -314 meV/atom
N(E_F): 32.775 states/eV/cell

=====

Entry 2:
A plane-wave DFT calculation with PBE was carried out for a geometry-optimized CeTi2Rh5 structure.

abc: 5.662 10.948 4.186
angles: 90.00 90.00 90.00
Space group Pbam (No. 55)
Inequivalent atoms, fractional coordinates:
Ce (0.000, 0.000, 0.000) x2
Ti (0.154, 0.350, 0.500) x4
Rh (0.000, 0.500, 0.000) x2
Rh (0.078, 0.755, 0.000) x4
Rh (0.216, 0.117, 0.500) x4

Properties
ΔE_f: -625 meV/atom
N(E_F): 11.318 states/eV/cell

=====

Entry 3:
A plane-wave DFT calculation with PBE was carried out for a geometry-optimized CeTi2Rh3 structure.

abc: 3.098 3.098 10.479
angles: 90.00 90.00 90.00
Space group P4/mmm (No. 123)
Inequivalent atoms, fractional coordinates:
Ce (0.000, 0.000, 0.000) x1
Ti (0.000, 0.000, 0.347) x2
Rh (0.500, 0.500, 0.212) x2
Rh (0.500, 0.500, 0.500) x1

Properties
ΔE_f: -745 meV/atom
N(E_F): 4.785 states/eV/cell

=====

Entry 4:
A plane-wave DFT calculation with PBE was carried out for a geometry-optimized CeTi2Rh structure.

abc: 3.109 3.109 7.657
angles: 90.00 90.00 90.00
Space group P4/mmm (No. 123)
Inequivalent atoms, fractional coordinates:
Ce (0.000, 0.000, 0.000) x1
Ti (0.500, 0.500, 0.299) x2
Rh (0.000, 0.000, 0.500) x1

Properties
ΔE_f: -287 meV/atom
N(E_F): 8.837 states/eV/cell

=====

Entry 5:
A plane-wave DFT calculation with PBE was carried out for a geometry-optimized Ce2TiRh structure.

abc: 2.9898 2.9898 30.8813
angles: 90.00 90.00 120.00
Space group R-3m (No. 166, hexagonal axes)
Inequivalent atoms, fractional coordinates:
Ce (0.0000, 0.0000, 0.0884) x6
Ti (0.0000, 0.0000, 0.0000) x3
Rh (0.0000, 0.0000, 0.5000) x3

Properties
ΔE_f: 41 meV/atom
N(E_F): 21.906 states/eV/cell

=====

Entry 6:
A plane-wave DFT calculation with PBE was carried out for a geometry-optimized Ce2TiZn2Rh5 structure.

abc: 9.826 9.826 3.561
angles: 90.00 90.00 90.00
Space group P4/mbm (No. 127)
Inequivalent atoms, fractional coordinates:
Ce (0.173, 0.327, 0.000) x4
Ti (0.000, 0.000, 0.000) x2
Zn (0.125, 0.625, 0.000) x4
Rh (0.000, 0.500, 0.500) x2
Rh (0.071, 0.802, 0.500) x8

Properties
ΔE_f: -594 meV/atom
N(E_F): 19.453 states/eV/cell

=====

Entry 7:
A plane-wave DFT calculation with PBE was carried out for a geometry-optimized CeTlRh4 structure.

abc: 7.546 7.546 7.546
angles: 90.00 90.00 90.00
Space group F-43m (No. 216)
Inequivalent atoms, fractional coordinates:
Ce (0.000, 0.000, 0.000) x4
Tl (0.250, 0.250, 0.750) x4
Rh (0.124, 0.124, 0.376) x16

Properties
ΔE_f: -395 meV/atom
N(E_F): 32.457 states/eV/cell

=====

Entry 8:
A plane-wave DFT calculation with PBE was carried out for a geometry-optimized Ce4TlRh12 structure.

abc: 8.482 8.482 8.482
angles: 90.00 90.00 90.00
Space group Im-3m (No. 229)
Inequivalent atoms, fractional coordinates:
Ce (0.250, 0.250, 0.250) x8
Tl (0.000, 0.000, 0.000) x2
Rh (0.000, 0.000, 0.308) x12
Rh (0.000, 0.250, 0.500) x12

Properties
ΔE_f: -480 meV/atom
N(E_F): 47.776 states/eV/cell